The following is a PBE+U calculation of a relaxed HfV2BiO8 crystal, from Alexandria.

CIF file:
```
data_HfV2BiO8
_symmetry_space_group_name_H-M 'P 1'
_symmetry_Int_Tables_number 1
_symmetry_space_group_name_Hall 'P 1'
_cell_length_a 4.987
_cell_length_b 4.987
_cell_length_c 8.420
_cell_angle_alpha 90.00
_cell_angle_beta 90.00
_cell_angle_gamma 120.00
loop_
_atom_site_label
_atom_site_type_symbol
_atom_site_fract_x
_atom_site_fract_y
_atom_site_fract_z
Hf1 Hf 0.000 0.000 0.500
V1 V 0.667 0.333 0.271
V2 V 0.333 0.667 0.729
Bi1 Bi 0.000 0.000 0.000
O1 O 0.333 0.667 0.940
O2 O 0.333 0.312 0.345
O3 O 0.688 0.022 0.345
O4 O 0.667 0.333 0.060
O5 O 0.312 0.978 0.655
O6 O 0.667 0.688 0.655
O7 O 0.022 0.333 0.655
O8 O 0.978 0.667 0.345
```

Computed properties:
Calculated volume ... 181 Å³ per cell
Fermi-level density of states ... 0.014 states/eV/cell
E ... -91.61 eV per cell
M_tot ... 1.0 μB per formula unit